VASP calculation (GGA-PBE) on a geometry-optimized Pr3Ag2Au structure.

POSCAR file:
```
Pr3Ag2Au
1.0
3.7365 0.0000 0.0000
0.0000 5.0759 -1.6804
0.0000 -0.0113 8.4724
Pr Au Ag
3 1 2
Direct
0.5000 0.1621 0.3242 Pr
0.5000 0.8379 0.6758 Pr
0.5000 0.5000 0.0000 Pr
0.0000 0.0000 0.0000 Au
0.0000 0.3273 0.6547 Ag
0.0000 0.6727 0.3453 Ag
```

Summary:
**Density of states at the Fermi level**: 5.6 states/eV/cell
**Total DFT energy (no corrections)**: -25.8 eV/cell
**ρ**: 8.64 g cm⁻³
**Total magnetic moment**: 0.0 μB/cell
**Calculated formation energy**: -0.42 eV/atom



VASP calculation (GGA-PBE) on a geometry-optimized Pr2SmCu structure.

POSCAR file:
```
Pr2SmCu
1.0
3.7501 0.0000 0.0000
1.8751 3.2477 0.0000
1.8751 1.0826 10.1114
Cu Sm Pr
1 1 2
Direct
0.6670 0.6670 0.9991 Cu
0.4996 0.4996 0.5012 Sm
0.2652 0.2652 0.2044 Pr
0.0683 0.0683 0.7952 Pr
```

Summary:
**Energy relative to the lowest polymorph listed for this composition**: 0.51 eV per formula unit
**Density of states at the Fermi level**: 4.9 states/eV/cell
**Total DFT energy (no corrections)**: -18.1 eV/cell
**ρ**: 6.68 g cm⁻³
**Total magnetic moment**: 0.0 μB/cell
**Calculated formation energy**: 0.07 eV/atom